[1]
{
  "formula": "TeH3Pd7",
  "functional": "PBE",
  "state": "optimized geometry",
  "cell": [[3.7544, -3.8294, 0.0000], [3.7544, 3.8294, 0.0000], [-0.9510, 0.0000, 4.9528]],
  "species": ["Te", "H", "H", "H", "Pd", "Pd", "Pd", "Pd", "Pd", "Pd", "Pd"],
  "frac_coords": [[0.0000, 0.0000, 0.0000], [0.3379, 0.6621, 0.5000], [0.5000, 0.5000, 0.0000], [0.6621, 0.3379, 0.5000], [0.0000, 0.0000, 0.5000], [0.1546, 0.5373, 0.7672], [0.3474, 0.3474, 0.2726], [0.4627, 0.8454, 0.2328], [0.5373, 0.1546, 0.7672], [0.6526, 0.6526, 0.7274], [0.8454, 0.4627, 0.2328]],
  "energy_ev_per_atom": -4.587,
  "sg": "C2/m"
}

[2]
{
  "formula": "Zr3Sc2Co2",
  "functional": "PBE",
  "state": "optimized geometry",
  "cell": [[5.5305, -1.6730, 0.0000], [5.5305, 1.6730, 0.0000], [-3.2598, 0.0000, 7.4396]],
  "species": ["Zr", "Zr", "Zr", "Sc", "Sc", "Co", "Co"],
  "frac_coords": [[0.0000, 0.0000, 0.0000], [0.1173, 0.1173, 0.4381], [0.8827, 0.8827, 0.5619], [0.3422, 0.3422, 0.1926], [0.6578, 0.6578, 0.8074], [0.3372, 0.3372, 0.7693], [0.6628, 0.6628, 0.2307]],
  "ef_ev_per_atom": -0.224,
  "sg": "C2/m"
}

[3]
{
  "formula": "HfCr2Ag",
  "functional": "PBE",
  "state": "optimized geometry",
  "cell": [[0.0000, 3.2418, 3.2418], [3.2418, 0.0000, 3.2418], [3.2418, 3.2418, 0.0000]],
  "species": ["Hf", "Cr", "Cr", "Ag"],
  "frac_coords": [[0.0000, 0.0000, 0.0000], [0.2500, 0.2500, 0.2500], [0.7500, 0.7500, 0.7500], [0.5000, 0.5000, 0.5000]],
  "e_above_lowest_polymorph_ev_per_atom": 0.000,
  "ef_ev_per_atom": 0.527,
  "sg": "Fm-3m"
}